Density functional theory data (PBE) for CsIr after structural relaxation.

Output
Crystal system: tetragonal

abc: 3.152 3.152 5.628
angles: 90.00 90.00 90.00
Atoms (fractional coordinates):
Cs 0.000 0.000 0.000
Ir 0.500 0.500 0.500


Density functional theory data (PBE) for CsIr after structural relaxation.

Output
Crystal system: cubic

abc: 6.585 6.585 6.585
angles: 90.00 90.00 90.00
Atoms (fractional coordinates):
Cs 0.250 0.250 0.250
Cs 0.250 0.750 0.750
Cs 0.750 0.250 0.750
Cs 0.750 0.750 0.250
Ir 0.000 0.000 0.000
Ir 0.000 0.500 0.500
Ir 0.500 0.000 0.500
Ir 0.500 0.500 0.000


Density functional theory data (PBE) for CsIr after structural relaxation.

Output
Crystal system: cubic

abc: 10.312 10.312 10.312
angles: 90.00 90.00 90.00
Atoms (fractional coordinates):
Cs 0.250 0.500 0.000
Cs 0.750 0.500 0.000
Cs 0.500 0.000 0.250
Cs 0.500 0.000 0.750
Cs 0.000 0.250 0.500
Cs 0.000 0.750 0.500
Ir 0.250 0.000 0.500
Ir 0.750 0.000 0.500
Ir 0.000 0.500 0.250
Ir 0.000 0.500 0.750
Ir 0.500 0.250 0.000
Ir 0.500 0.750 0.000


Density functional theory data (PBE) for CsIr after structural relaxation.

Output
Crystal system: monoclinic

abc: 4.398 6.063 11.372
angles: 90.00 112.25 90.00
Atoms (fractional coordinates):
Cs 0.897 0.000 0.652
Cs 0.103 0.000 0.348
Cs 0.897 0.500 0.152
Cs 0.103 0.500 0.848
Ir 0.710 0.000 0.959
Ir 0.290 0.000 0.041
Ir 0.710 0.500 0.459
Ir 0.290 0.500 0.541


In eV per atom, the formation energy from the elements values for the records above are, in order, 1.560, 2.464, 2.162, 0.550.
In eV per atom, the ΔE to the lowest computed polymorph values for the records above are, in order, 1.1120, 2.0155, 1.7135, 0.1022.